# PBE Rb2TiSbCl6, relaxed
data_Rb2TiSbCl6
_chemical_formula_sum 'Rb4 Ti2 Sb2 Cl12'
_space_group_name_H-M_alt 'I 4/m m m'
_space_group_IT_number 139
_space_group_name_Hall '-I 4 2'
_cell_length_a 7.282
_cell_length_b 7.282
_cell_length_c 12.342
_cell_angle_alpha 90.00
_cell_angle_beta 90.00
_cell_angle_gamma 90.00
loop_
_atom_site_label
_atom_site_type_symbol
_atom_site_fract_x
_atom_site_fract_y
_atom_site_fract_z
_atom_site_occupancy
Rb1 Rb 0.000 0.500 0.250 1
Ti1 Ti 0.000 0.000 0.000 1
Sb1 Sb 0.000 0.000 0.500 1
Cl1 Cl 0.000 0.000 0.196 1
Cl2 Cl 0.239 0.239 0.000 1
# E_tot in eV/atom: -3.85
# V in A^3/atom: 32.72
# N(E_F) in states/eV/atom: 0.04